Arrangement a

First-principles (PBE) data for K2CaAs2 after structural relaxation, as listed in Alexandria.

Properties
* spin magnetization: 0.000 μB per atom

Structure (CIF):
```
data_K2CaAs2
_chemical_formula_sum 'K4 Ca2 As4'
_cell_length_a 4.5442
_cell_length_b 4.5442
_cell_length_c 14.3776
_cell_angle_alpha 90.00
_cell_angle_beta 90.00
_cell_angle_gamma 90.00
_symmetry_space_group_name_H-M 'I 4/m m m'
_symmetry_Int_Tables_number 139
_symmetry_space_group_name_Hall '-I 4 2'
loop_
_atom_site_label
_atom_site_type_symbol
_atom_site_fract_x
_atom_site_fract_y
_atom_site_fract_z
_atom_site_occupancy
K1 K 0.0000 0.5000 0.2500 1
Ca1 Ca 0.0000 0.0000 0.0000 1
As1 As 0.0000 0.0000 0.4137 1
```

=====

Arrangement b

First-principles (PBE) data for K2CaAs2 after structural relaxation, as listed in Alexandria.

Properties
* spin magnetization: 0.000 μB per atom

Structure (CIF):
```
data_K2CaAs2
_chemical_formula_sum 'K4 Ca2 As4'
_cell_length_a 7.6159
_cell_length_b 7.6159
_cell_length_c 5.4257
_cell_angle_alpha 90.00
_cell_angle_beta 90.00
_cell_angle_gamma 90.00
_symmetry_space_group_name_H-M 'P 4/m b m'
_symmetry_Int_Tables_number 127
_symmetry_space_group_name_Hall '-P 4 2ab'
loop_
_atom_site_label
_atom_site_type_symbol
_atom_site_fract_x
_atom_site_fract_y
_atom_site_fract_z
_atom_site_occupancy
K1 K 0.1621 0.3379 0.0000 1
Ca1 Ca 0.0000 0.0000 0.5000 1
As1 As 0.1194 0.6194 0.5000 1
```

=====

Which one sits at the top of the stability order? arrangement b does.

=====

Arrangement a

First-principles (PBE) data for KCaAs3 after structural relaxation, as listed in Alexandria.

Properties
* spin magnetization: 0.000 μB per atom

Structure (CIF):
```
data_KCaAs3
_chemical_formula_sum 'K1 Ca1 As3'
_cell_length_a 5.3953
_cell_length_b 5.3953
_cell_length_c 5.3953
_cell_angle_alpha 90.00
_cell_angle_beta 90.00
_cell_angle_gamma 90.00
_symmetry_space_group_name_H-M 'P m -3 m'
_symmetry_Int_Tables_number 221
_symmetry_space_group_name_Hall '-P 4 2 3'
loop_
_atom_site_label
_atom_site_type_symbol
_atom_site_fract_x
_atom_site_fract_y
_atom_site_fract_z
_atom_site_occupancy
K1 K 0.0000 0.0000 0.0000 1
Ca1 Ca 0.5000 0.5000 0.5000 1
As1 As 0.0000 0.0000 0.5000 1
```

=====

Arrangement b

First-principles (PBE) data for KCaAs3 after structural relaxation, as listed in Alexandria.

Properties
* spin magnetization: 0.000 μB per atom

Structure (CIF):
```
data_KCaAs3
_chemical_formula_sum 'K1 Ca1 As3'
_cell_length_a 5.4776
_cell_length_b 5.4776
_cell_length_c 5.4776
_cell_angle_alpha 90.00
_cell_angle_beta 90.00
_cell_angle_gamma 90.00
_symmetry_space_group_name_H-M 'P m -3 m'
_symmetry_Int_Tables_number 221
_symmetry_space_group_name_Hall '-P 4 2 3'
loop_
_atom_site_label
_atom_site_type_symbol
_atom_site_fract_x
_atom_site_fract_y
_atom_site_fract_z
_atom_site_occupancy
K1 K 0.0000 0.0000 0.0000 1
Ca1 Ca 0.5000 0.5000 0.5000 1
As1 As 0.0000 0.5000 0.5000 1
```

=====

Which one sits at the top of the stability order? arrangement b does.

=====

Arrangement a

First-principles (PBE) data for KCaAs2W after structural relaxation, as listed in Alexandria.

Properties
* spin magnetization: 0.864 μB per atom

Structure (CIF):
```
data_KCaAs2W
_chemical_formula_sum 'K1 Ca1 As2 W1'
_cell_length_a 5.4976
_cell_length_b 5.4976
_cell_length_c 5.3306
_cell_angle_alpha 90.00
_cell_angle_beta 90.00
_cell_angle_gamma 90.00
_symmetry_space_group_name_H-M 'P 4/m m m'
_symmetry_Int_Tables_number 123
_symmetry_space_group_name_Hall '-P 4 2'
loop_
_atom_site_label
_atom_site_type_symbol
_atom_site_fract_x
_atom_site_fract_y
_atom_site_fract_z
_atom_site_occupancy
K1 K 0.0000 0.0000 0.0000 1
Ca1 Ca 0.5000 0.5000 0.5000 1
As1 As 0.0000 0.5000 0.0000 1
W1 W 0.0000 0.0000 0.5000 1
```

=====

Arrangement b

First-principles (PBE) data for KCaAs2W after structural relaxation, as listed in Alexandria.

Properties
* spin magnetization: 0.000 μB per atom

Structure (CIF):
```
data_KCaAs2W
_chemical_formula_sum 'K1 Ca1 As2 W1'
_cell_length_a 5.2459
_cell_length_b 5.2459
_cell_length_c 4.8319
_cell_angle_alpha 90.00
_cell_angle_beta 90.00
_cell_angle_gamma 90.00
_symmetry_space_group_name_H-M 'P 4/m m m'
_symmetry_Int_Tables_number 123
_symmetry_space_group_name_Hall '-P 4 2'
loop_
_atom_site_label
_atom_site_type_symbol
_atom_site_fract_x
_atom_site_fract_y
_atom_site_fract_z
_atom_site_occupancy
K1 K 0.0000 0.0000 0.0000 1
Ca1 Ca 0.0000 0.0000 0.5000 1
As1 As 0.0000 0.5000 0.0000 1
W1 W 0.5000 0.5000 0.5000 1
```

=====

Which one sits at the top of the stability order? arrangement a does.

=====

Arrangement a

First-principles (PBE) data for CaLaAs2 after structural relaxation, as listed in Alexandria.

Properties
* spin magnetization: 0.000 μB per atom

Structure (CIF):
```
data_CaLaAs2
_chemical_formula_sum 'Ca2 La2 As4'
_cell_length_a 4.6906
_cell_length_b 5.7693
_cell_length_c 7.7399
_cell_angle_alpha 90.00
_cell_angle_beta 90.00
_cell_angle_gamma 90.00
_symmetry_space_group_name_H-M 'C m m m'
_symmetry_Int_Tables_number 65
_symmetry_space_group_name_Hall '-C 2 2'
loop_
_atom_site_label
_atom_site_type_symbol
_atom_site_fract_x
_atom_site_fract_y
_atom_site_fract_z
_atom_site_occupancy
Ca1 Ca 0.0000 0.0000 0.0000 1
La1 La 0.0000 0.0000 0.5000 1
As1 As 0.0000 0.5000 0.2498 1
```

=====

Arrangement b

First-principles (PBE) data for CaLaAs2 after structural relaxation, as listed in Alexandria.

Properties
* spin magnetization: 0.000 μB per atom

Structure (CIF):
```
data_CaLaAs2
_chemical_formula_sum 'Ca4 La4 As8'
_cell_length_a 7.2964
_cell_length_b 7.2964
_cell_length_c 7.2964
_cell_angle_alpha 90.00
_cell_angle_beta 90.00
_cell_angle_gamma 90.00
_symmetry_space_group_name_H-M 'F -4 3 m'
_symmetry_Int_Tables_number 216
_symmetry_space_group_name_Hall 'F -4 2 3'
loop_
_atom_site_label
_atom_site_type_symbol
_atom_site_fract_x
_atom_site_fract_y
_atom_site_fract_z
_atom_site_occupancy
Ca1 Ca 0.0000 0.0000 0.0000 1
La1 La 0.2500 0.2500 0.2500 1
As1 As 0.0000 0.0000 0.5000 1
As2 As 0.2500 0.2500 0.7500 1
```

=====

Arrangement c

First-principles (PBE) data for CaLaAs2 after structural relaxation, as listed in Alexandria.

Properties
* spin magnetization: 0.000 μB per atom

Structure (CIF):
```
data_CaLaAs2
_chemical_formula_sum 'Ca3 La3 As6'
_cell_length_a 3.7034
_cell_length_b 3.7034
_cell_length_c 28.8282
_cell_angle_alpha 90.00
_cell_angle_beta 90.00
_cell_angle_gamma 120.00
_symmetry_space_group_name_H-M 'R 3 m'
_symmetry_Int_Tables_number 160
_symmetry_space_group_name_Hall 'R 3 -2"'
loop_
_atom_site_label
_atom_site_type_symbol
_atom_site_fract_x
_atom_site_fract_y
_atom_site_fract_z
_atom_site_occupancy
Ca1 Ca 0.0000 0.0000 0.0000 1
La1 La 0.0000 0.0000 0.2190 1
As1 As 0.0000 0.0000 0.4678 1
As2 As 0.0000 0.0000 0.7469 1
```

=====

Arrangement d

First-principles (PBE) data for CaLaAs2 after structural relaxation, as listed in Alexandria.

Properties
* spin magnetization: 0.000 μB per atom

Structure (CIF):
```
data_CaLaAs2
_chemical_formula_sum 'Ca3 La3 As6'
_cell_length_a 4.4272
_cell_length_b 4.4272
_cell_length_c 20.3360
_cell_angle_alpha 90.00
_cell_angle_beta 90.00
_cell_angle_gamma 120.00
_symmetry_space_group_name_H-M 'R 3 m'
_symmetry_Int_Tables_number 160
_symmetry_space_group_name_Hall 'R 3 -2"'
loop_
_atom_site_label
_atom_site_type_symbol
_atom_site_fract_x
_atom_site_fract_y
_atom_site_fract_z
_atom_site_occupancy
Ca1 Ca 0.0000 0.0000 0.0000 1
La1 La 0.0000 0.0000 0.1735 1
As1 As 0.0000 0.0000 0.5912 1
As2 As 0.0000 0.0000 0.7520 1
```

=====

Which one sits at the top of the stability order? arrangement d does.

=====

Arrangement a

First-principles (PBE) data for CaLa2As2 after structural relaxation, as listed in Alexandria.

Properties
* spin magnetization: 0.000 μB per atom

Structure (CIF):
```
data_CaLa2As2
_chemical_formula_sum 'Ca2 La4 As4'
_cell_length_a 8.5551
_cell_length_b 8.5551
_cell_length_c 3.8408
_cell_angle_alpha 90.00
_cell_angle_beta 90.00
_cell_angle_gamma 90.00
_symmetry_space_group_name_H-M 'P 4/m b m'
_symmetry_Int_Tables_number 127
_symmetry_space_group_name_Hall '-P 4 2ab'
loop_
_atom_site_label
_atom_site_type_symbol
_atom_site_fract_x
_atom_site_fract_y
_atom_site_fract_z
_atom_site_occupancy
Ca1 Ca 0.0000 0.0000 0.0000 1
La1 La 0.1349 0.3651 0.0000 1
As1 As 0.1682 0.6682 0.5000 1
```

=====

Arrangement b

First-principles (PBE) data for CaLa2As2 after structural relaxation, as listed in Alexandria.

Properties
* spin magnetization: 0.000 μB per atom

Structure (CIF):
```
data_CaLa2As2
_chemical_formula_sum 'Ca2 La4 As4'
_cell_length_a 4.6208
_cell_length_b 4.6208
_cell_length_c 13.6979
_cell_angle_alpha 90.00
_cell_angle_beta 90.00
_cell_angle_gamma 90.00
_symmetry_space_group_name_H-M 'I 4/m m m'
_symmetry_Int_Tables_number 139
_symmetry_space_group_name_Hall '-I 4 2'
loop_
_atom_site_label
_atom_site_type_symbol
_atom_site_fract_x
_atom_site_fract_y
_atom_site_fract_z
_atom_site_occupancy
Ca1 Ca 0.0000 0.0000 0.0000 1
La1 La 0.0000 0.5000 0.2500 1
As1 As 0.0000 0.0000 0.3982 1
```

=====

Which one sits at the top of the stability order? arrangement a does.

=====

Arrangement a

First-principles (PBE) data for CaLa3As after structural relaxation, as listed in Alexandria.

Properties
* spin magnetization: 0.000 μB per atom

Structure (CIF):
```
data_CaLa3As
_chemical_formula_sum 'Ca1 La3 As1'
_cell_length_a 5.8652
_cell_length_b 5.8652
_cell_length_c 5.8652
_cell_angle_alpha 90.00
_cell_angle_beta 90.00
_cell_angle_gamma 90.00
_symmetry_space_group_name_H-M 'P m -3 m'
_symmetry_Int_Tables_number 221
_symmetry_space_group_name_Hall '-P 4 2 3'
loop_
_atom_site_label
_atom_site_type_symbol
_atom_site_fract_x
_atom_site_fract_y
_atom_site_fract_z
_atom_site_occupancy
Ca1 Ca 0.0000 0.0000 0.0000 1
La1 La 0.0000 0.5000 0.5000 1
As1 As 0.5000 0.5000 0.5000 1
```

=====

Arrangement b

First-principles (PBE) data for CaLa3As after structural relaxation, as listed in Alexandria.

Properties
* spin magnetization: 0.000 μB per atom

Structure (CIF):
```
data_CaLa3As
_chemical_formula_sum 'Ca1 La3 As1'
_cell_length_a 5.6053
_cell_length_b 5.6053
_cell_length_c 5.6053
_cell_angle_alpha 90.00
_cell_angle_beta 90.00
_cell_angle_gamma 90.00
_symmetry_space_group_name_H-M 'P m -3 m'
_symmetry_Int_Tables_number 221
_symmetry_space_group_name_Hall '-P 4 2 3'
loop_
_atom_site_label
_atom_site_type_symbol
_atom_site_fract_x
_atom_site_fract_y
_atom_site_fract_z
_atom_site_occupancy
Ca1 Ca 0.0000 0.0000 0.0000 1
La1 La 0.0000 0.0000 0.5000 1
As1 As 0.5000 0.5000 0.5000 1
```

=====

Which one sits at the top of the stability order? arrangement a does.